(1)
Here is a relaxed structure of ZrIr2Br from Alexandria via LeMat-Bulk. Energies are from PBE.

The structure in extended XYZ format:
```
8
Lattice="4.0486 0.0000 0.0000 0.0000 4.0486 0.0000 0.0000 0.0000 8.5640" Properties=species:S:1:pos:R:3 pbc="T T T"
Zr 0.0000 0.0000 0.0000
Zr 2.0243 2.0243 4.2820
Ir 0.0000 0.0000 4.2820
Ir 0.0000 2.0243 2.1410
Ir 2.0243 0.0000 6.4230
Ir 2.0243 2.0243 0.0000
Br 0.0000 2.0243 6.4230
Br 2.0243 0.0000 2.1410
```

Calculated values
Energy above the most stable polymorph in this dataset ... 450 meV/atom
Formation energy from raw total energies ... 7.202 kcal/mol of atoms
Total moment ... 0.00 μB per formula unit
Crystal system ... tetragonal

---

(2)
Here is a relaxed structure of Zr2IrBr from Alexandria via LeMat-Bulk. Energies are from PBE.

The structure in extended XYZ format:
```
8
Lattice="3.4670 0.0000 0.0000 0.0000 3.5850 0.0000 0.0000 0.0000 14.8561" Properties=species:S:1:pos:R:3 pbc="T T T"
Zr 0.0000 0.0000 0.0000
Zr 0.0000 1.7925 4.4557
Zr 1.7335 0.0000 11.8837
Zr 1.7335 1.7925 7.4280
Ir 0.0000 1.7925 12.9168
Ir 1.7335 0.0000 5.4887
Br 0.0000 0.0000 9.1446
Br 1.7335 1.7925 1.7165
```

Calculated values
Energy above the most stable polymorph in this dataset ... 184 meV/atom
Formation energy from raw total energies ... -11.903 kcal/mol of atoms
Total moment ... 0.00 μB per formula unit
Crystal system ... orthorhombic